Entry 1:
Below is a relaxed TiFeH3 crystal, with properties calculated at the GGA-PBEsol level.

Properties
DOS(E_F)	4.50	states/eV/f.u.
raw total energy	-5.67	eV/atom
total magnetic moment	1.1	μB/cell

```
data_TiFeH3
_chemical_formula_sum 'Ti1 Fe1 H3'
_cell_length_a 3.204
_cell_length_b 3.204
_cell_length_c 3.204
_cell_angle_alpha 90.00
_cell_angle_beta 90.00
_cell_angle_gamma 90.00
_symmetry_space_group_name_H-M 'P m -3 m'
_symmetry_Int_Tables_number 221
_symmetry_space_group_name_Hall '-P 4 2 3'
loop_
_atom_site_label
_atom_site_type_symbol
_atom_site_fract_x
_atom_site_fract_y
_atom_site_fract_z
Ti1 Ti 0.000 0.000 0.000
Fe1 Fe 0.500 0.500 0.500
H1 H 0.000 0.500 0.500
```


Entry 2:
Below is a relaxed OsAuSe2 crystal, with properties calculated at the GGA-PBEsol level.

Properties
DOS(E_F)	3.55	states/eV/f.u.
raw total energy	-5.10	eV/atom
total magnetic moment	0.0	μB/cell

```
data_OsAuSe2
_chemical_formula_sum 'Os2 Au2 Se4'
_cell_length_a 3.962
_cell_length_b 3.962
_cell_length_c 8.495
_cell_angle_alpha 90.00
_cell_angle_beta 90.00
_cell_angle_gamma 90.00
_symmetry_space_group_name_H-M 'I -4 m 2'
_symmetry_Int_Tables_number 119
_symmetry_space_group_name_Hall 'I -4 -2'
loop_
_atom_site_label
_atom_site_type_symbol
_atom_site_fract_x
_atom_site_fract_y
_atom_site_fract_z
Os1 Os 0.000 0.000 0.000
Au1 Au 0.000 0.500 0.750
Se1 Se 0.000 0.000 0.500
Se2 Se 0.000 0.500 0.250
```


Entry 3:
Below is a relaxed TaPS2 crystal, with properties calculated at the GGA-PBEsol level.

Properties
DOS(E_F)	1.32	states/eV/f.u.
raw total energy	-7.22	eV/atom
total magnetic moment	0.0	μB/cell

```
data_TaPS2
_chemical_formula_sum 'Ta3 P3 S6'
_cell_length_a 3.1849
_cell_length_b 3.1849
_cell_length_c 24.1673
_cell_angle_alpha 90.00
_cell_angle_beta 90.00
_cell_angle_gamma 120.00
_symmetry_space_group_name_H-M 'R -3 m'
_symmetry_Int_Tables_number 166
_symmetry_space_group_name_Hall '-R 3 2"'
loop_
_atom_site_label
_atom_site_type_symbol
_atom_site_fract_x
_atom_site_fract_y
_atom_site_fract_z
Ta1 Ta 0.0000 0.0000 0.0000
P1 P 0.0000 0.0000 0.5000
S1 S 0.0000 0.0000 0.4006
```


Entry 4:
Below is a relaxed CoRe2Mo crystal, with properties calculated at the GGA-PBEsol level.

Properties
DOS(E_F)	3.12	states/eV/f.u.
raw total energy	-11.51	eV/atom
total magnetic moment	0.0	μB/cell

```
data_CoRe2Mo
_chemical_formula_sum 'Co1 Re2 Mo1'
_cell_length_a 3.788
_cell_length_b 3.788
_cell_length_c 3.793
_cell_angle_alpha 90.00
_cell_angle_beta 90.00
_cell_angle_gamma 90.00
_symmetry_space_group_name_H-M 'P 4/m m m'
_symmetry_Int_Tables_number 123
_symmetry_space_group_name_Hall '-P 4 2'
loop_
_atom_site_label
_atom_site_type_symbol
_atom_site_fract_x
_atom_site_fract_y
_atom_site_fract_z
Co1 Co 0.000 0.000 0.000
Re1 Re 0.000 0.500 0.500
Mo1 Mo 0.500 0.500 0.000
```


Entry 5:
Below is a relaxed TiNb2GeF crystal, with properties calculated at the GGA-PBEsol level.

Properties
DOS(E_F)	8.03	states/eV/f.u.
raw total energy	-6.38	eV/atom
total magnetic moment	0.2	μB/cell

```
data_TiNb2GeF
_chemical_formula_sum 'Ti1 Nb2 Ge1 F1'
_cell_length_a 4.799
_cell_length_b 4.799
_cell_length_c 4.657
_cell_angle_alpha 90.00
_cell_angle_beta 90.00
_cell_angle_gamma 90.00
_symmetry_space_group_name_H-M 'P 4/m m m'
_symmetry_Int_Tables_number 123
_symmetry_space_group_name_Hall '-P 4 2'
loop_
_atom_site_label
_atom_site_type_symbol
_atom_site_fract_x
_atom_site_fract_y
_atom_site_fract_z
Ti1 Ti 0.000 0.000 0.000
Nb1 Nb 0.000 0.500 0.500
Ge1 Ge 0.000 0.000 0.500
F1 F 0.500 0.500 0.000
```


Entry 6:
Below is a relaxed SrZrBe2W crystal, with properties calculated at the GGA-PBEsol level.

Properties
DOS(E_F)	3.22	states/eV/f.u.
raw total energy	-5.71	eV/atom
total magnetic moment	0.0	μB/cell

```
data_SrZrBe2W
_chemical_formula_sum 'Sr1 Zr1 Be2 W1'
_cell_length_a 4.763
_cell_length_b 4.763
_cell_length_c 4.763
_cell_angle_alpha 90.00
_cell_angle_beta 90.00
_cell_angle_gamma 90.00
_symmetry_space_group_name_H-M 'P 4/m m m'
_symmetry_Int_Tables_number 123
_symmetry_space_group_name_Hall '-P 4 2'
loop_
_atom_site_label
_atom_site_type_symbol
_atom_site_fract_x
_atom_site_fract_y
_atom_site_fract_z
Sr1 Sr 0.000 0.000 0.000
Zr1 Zr 0.500 0.500 0.000
Be1 Be 0.000 0.500 0.500
W1 W 0.500 0.500 0.500
```


Entry 7:
Below is a relaxed Zr2TcPd crystal, with properties calculated at the GGA-PBEsol level.

Properties
DOS(E_F)	2.84	states/eV/f.u.
raw total energy	-9.37	eV/atom
total magnetic moment	0.0	μB/cell

```
data_Zr2TcPd
_chemical_formula_sum 'Zr8 Tc4 Pd4'
_cell_length_a 6.538
_cell_length_b 6.538
_cell_length_c 6.538
_cell_angle_alpha 90.00
_cell_angle_beta 90.00
_cell_angle_gamma 90.00
_symmetry_space_group_name_H-M 'F m -3 m'
_symmetry_Int_Tables_number 225
_symmetry_space_group_name_Hall '-F 4 2 3'
loop_
_atom_site_label
_atom_site_type_symbol
_atom_site_fract_x
_atom_site_fract_y
_atom_site_fract_z
Zr1 Zr 0.250 0.250 0.250
Tc1 Tc 0.000 0.000 0.000
Pd1 Pd 0.000 0.000 0.500
```


Entry 8:
Below is a relaxed Cu2SbW crystal, with properties calculated at the GGA-PBEsol level.

Properties
DOS(E_F)	3.05	states/eV/f.u.
raw total energy	-6.33	eV/atom
total magnetic moment	0.0	μB/cell

```
data_Cu2SbW
_chemical_formula_sum 'Cu2 Sb1 W1'
_cell_length_a 3.278
_cell_length_b 3.278
_cell_length_c 5.635
_cell_angle_alpha 90.00
_cell_angle_beta 90.00
_cell_angle_gamma 90.00
_symmetry_space_group_name_H-M 'P 4 m m'
_symmetry_Int_Tables_number 99
loop_
_symmetry_equiv_pos_as_xyz
'x,y,z'
'-y,x,z'
'-x,-y,z'
'y,-x,z'
'-x,y,z'
'y,x,z'
'x,-y,z'
'-y,-x,z'
loop_
_atom_site_label
_atom_site_type_symbol
_atom_site_fract_x
_atom_site_fract_y
_atom_site_fract_z
Cu1 Cu 0.000 0.000 0.000
Cu2 Cu 0.500 0.500 0.192
Sb1 Sb 0.000 0.000 0.475
W1 W 0.500 0.500 0.732
```


Entry 9:
Below is a relaxed LuAl crystal, with properties calculated at the GGA-PBEsol level.

Properties
DOS(E_F)	1.57	states/eV/f.u.
raw total energy	-4.88	eV/atom
total magnetic moment	0.0	μB/cell

```
data_LuAl
_chemical_formula_sum 'Lu8 Al8'
_cell_length_a 5.764
_cell_length_b 11.205
_cell_length_c 5.524
_cell_angle_alpha 90.00
_cell_angle_beta 90.00
_cell_angle_gamma 90.00
_symmetry_space_group_name_H-M 'P b c m'
_symmetry_Int_Tables_number 57
loop_
_symmetry_equiv_pos_as_xyz
'x,y,z'
'-x,-y,-z'
'-x,-y,z+1/2'
'x,y,-z+1/2'
'x,-y+1/2,-z'
'-x,y+1/2,z'
'-x,y+1/2,-z+1/2'
'x,-y+1/2,z+1/2'
loop_
_atom_site_label
_atom_site_type_symbol
_atom_site_fract_x
_atom_site_fract_y
_atom_site_fract_z
Lu1 Lu 0.105 0.170 0.250
Lu2 Lu 0.341 0.018 0.750
Al1 Al 0.156 0.596 0.750
Al2 Al 0.429 0.750 0.000
```


Entry 10:
Below is a relaxed YCuBr2 crystal, with properties calculated at the GGA-PBEsol level.

Properties
DOS(E_F)	0.98	states/eV/f.u.
raw total energy	-4.37	eV/atom
total magnetic moment	0.0	μB/cell

```
data_YCuBr2
_chemical_formula_sum 'Y1 Cu1 Br2'
_cell_length_a 3.570
_cell_length_b 3.574
_cell_length_c 6.445
_cell_angle_alpha 90.00
_cell_angle_beta 90.20
_cell_angle_gamma 90.00
_symmetry_space_group_name_H-M 'P 1 2/m 1'
_symmetry_Int_Tables_number 10
loop_
_symmetry_equiv_pos_as_xyz
'x,y,z'
'-x,-y,-z'
'-x,y,-z'
'x,-y,z'
loop_
_atom_site_label
_atom_site_type_symbol
_atom_site_fract_x
_atom_site_fract_y
_atom_site_fract_z
Y1 Y 0.000 0.000 0.000
Cu1 Cu 0.000 0.000 0.500
Br1 Br 0.499 0.500 0.755
```


Entry 11:
Below is a relaxed Al2MoRu crystal, with properties calculated at the GGA-PBEsol level.

Properties
DOS(E_F)	2.16	states/eV/f.u.
raw total energy	-7.79	eV/atom
total magnetic moment	0.0	μB/cell

```
data_Al2MoRu
_chemical_formula_sum 'Al4 Mo2 Ru2'
_cell_length_a 9.415
_cell_length_b 2.924
_cell_length_c 4.389
_cell_angle_alpha 90.00
_cell_angle_beta 108.77
_cell_angle_gamma 90.00
_symmetry_space_group_name_H-M 'C 1 m 1'
_symmetry_Int_Tables_number 8
loop_
_symmetry_equiv_pos_as_xyz
'x,y,z'
'x,-y,z'
'x+1/2,y+1/2,z'
'x+1/2,-y+1/2,z'
loop_
_atom_site_label
_atom_site_type_symbol
_atom_site_fract_x
_atom_site_fract_y
_atom_site_fract_z
Al1 Al 0.000 0.000 0.000
Al2 Al 0.229 0.000 0.698
Mo1 Mo 0.476 0.000 0.483
Ru1 Ru 0.238 0.500 0.198
```


Entry 12:
Below is a relaxed La3Mg crystal, with properties calculated at the GGA-PBEsol level.

Properties
DOS(E_F)	4.99	states/eV/f.u.
raw total energy	-4.46	eV/atom
total magnetic moment	0.0	μB/cell

```
data_La3Mg
_chemical_formula_sum 'La3 Mg1'
_cell_length_a 3.578
_cell_length_b 4.926
_cell_length_c 7.132
_cell_angle_alpha 90.00
_cell_angle_beta 90.00
_cell_angle_gamma 90.00
_symmetry_space_group_name_H-M 'P m m m'
_symmetry_Int_Tables_number 47
loop_
_symmetry_equiv_pos_as_xyz
'x,y,z'
'-x,-y,-z'
'-x,-y,z'
'x,y,-z'
'x,-y,-z'
'-x,y,z'
'-x,y,-z'
'x,-y,z'
loop_
_atom_site_label
_atom_site_type_symbol
_atom_site_fract_x
_atom_site_fract_y
_atom_site_fract_z
La1 La 0.000 0.000 0.000
La2 La 0.500 0.500 0.262
Mg1 Mg 0.000 0.000 0.500
```